VInF2 GGA+U relaxed; SG = I-42d; magnetic moment = 2.55 μB/f.u.; relative energy among the computed polymorphs = 372 meV per atom
1.0
5.4697 0.0000 0.0000
0.0000 5.4697 0.0000
2.7349 2.7349 5.9041
F V In
4 2 2
Direct
0.8750 0.6610 0.7500
0.4110 0.1250 0.2500
0.3750 0.5890 0.7500
0.3390 0.6250 0.2500
0.2500 0.7500 0.5000
0.5000 0.5000 0.0000
0.0000 0.0000 0.0000
0.7500 0.2500 0.5000